This record from Alexandria via LeMat-Bulk describes a relaxed structure of Ni3HgN. The functional is PBE-GGA.

```
Ni3HgN
1.0
4.340 0.000 0.000
-2.170 3.759 0.000
0.000 0.000 7.480
Ni Hg N
6 2 2
Direct
0.000 0.000 0.250
0.000 0.000 0.750
0.333 0.667 0.087
0.333 0.667 0.413
0.667 0.333 0.587
0.667 0.333 0.913
0.333 0.667 0.750
0.667 0.333 0.250
0.000 0.000 0.000
0.000 0.000 0.500
```

Crystal system: hexagonal
Formation energy (no corrections), meV/atom: 658
VASP energy, eV for the cell shown: -45.360